No. 1
DFT (PBE-GGA) results for a relaxed structure of NaLa2Ag2.

Cell and atoms, written as CIF:
```
data_NaLa2Ag2
_chemical_formula_sum 'Na2 La4 Ag4'
_cell_length_a 8.6041
_cell_length_b 8.6041
_cell_length_c 3.9963
_cell_angle_alpha 90.00
_cell_angle_beta 90.00
_cell_angle_gamma 90.00
_space_group_name_H-M_alt 'P 4/m b m'
_space_group_IT_number 127
_space_group_name_Hall '-P 4 2ab'
loop_
_atom_site_label
_atom_site_fract_x
_atom_site_fract_y
_atom_site_fract_z
Na1 0.0000 0.0000 0.0000
La1 0.1621 0.3379 0.5000
Ag1 0.1288 0.6288 0.0000
```

Calculated formation energy in eV/f.u.: -0.7
Relative energy among the computed polymorphs in eV/f.u.: 0.00
DFT total energy in Ha/atom: -0.1295
Theoretical density in Mg/m³: 5.80

---

No. 2
DFT (PBE-GGA) results for a relaxed structure of NaLa2Ag2.

Cell and atoms, written as CIF:
```
data_NaLa2Ag2
_chemical_formula_sum 'Na2 La4 Ag4'
_cell_length_a 9.1535
_cell_length_b 9.1535
_cell_length_c 3.5444
_cell_angle_alpha 90.00
_cell_angle_beta 90.00
_cell_angle_gamma 90.00
_space_group_name_H-M_alt 'P 4/m b m'
_space_group_IT_number 127
_space_group_name_Hall '-P 4 2ab'
loop_
_atom_site_label
_atom_site_fract_x
_atom_site_fract_y
_atom_site_fract_z
Na1 0.0000 0.0000 0.0000
La1 0.1390 0.3610 0.0000
Ag1 0.1552 0.6552 0.5000
```

Calculated formation energy in eV/f.u.: -0.2
Relative energy among the computed polymorphs in eV/f.u.: 0.58
DFT total energy in Ha/atom: -0.1252
Theoretical density in Mg/m³: 5.78

---

No. 3
DFT (PBE-GGA) results for a relaxed structure of Na2LaAg9.

Cell and atoms, written as CIF:
```
data_Na2LaAg9
_chemical_formula_sum 'Na6 La3 Ag27'
_cell_length_a 5.6327
_cell_length_b 5.6327
_cell_length_c 28.3547
_cell_angle_alpha 90.00
_cell_angle_beta 90.00
_cell_angle_gamma 120.00
_space_group_name_H-M_alt 'R -3 m'
_space_group_IT_number 166
_space_group_name_Hall '-R 3 2"'
loop_
_atom_site_label
_atom_site_fract_x
_atom_site_fract_y
_atom_site_fract_z
Na1 0.0000 0.0000 0.1457
La1 0.0000 0.0000 0.0000
Ag1 0.0000 0.0000 0.3326
Ag2 0.0000 0.0000 0.5000
Ag3 0.0006 0.5003 0.9163
```

Calculated formation energy in eV/f.u.: -1.4
DFT total energy in Ha/atom: -0.1060
Theoretical density in Mg/m³: 7.39

---

No. 4
DFT (PBE-GGA) results for a relaxed structure of NaLaAg3.

Cell and atoms, written as CIF:
```
data_NaLaAg3
_chemical_formula_sum 'Na1 La1 Ag3'
_cell_length_a 5.7905
_cell_length_b 5.7905
_cell_length_c 5.7905
_cell_angle_alpha 90.00
_cell_angle_beta 90.00
_cell_angle_gamma 90.00
_space_group_name_H-M_alt 'P m -3 m'
_space_group_IT_number 221
_space_group_name_Hall '-P 4 2 3'
loop_
_atom_site_label
_atom_site_fract_x
_atom_site_fract_y
_atom_site_fract_z
Na1 0.0000 0.0000 0.0000
La1 0.5000 0.5000 0.5000
Ag1 0.0000 0.5000 0.5000
```

Calculated formation energy in eV/f.u.: 2.8
Relative energy among the computed polymorphs in eV/f.u.: 1.44
DFT total energy in Ha/atom: -0.0879
Theoretical density in Mg/m³: 4.15

---

No. 5
DFT (PBE-GGA) results for a relaxed structure of NaLa2NiAg.

Cell and atoms, written as CIF:
```
data_NaLa2NiAg
_chemical_formula_sum 'Na1 La2 Ni1 Ag1'
_cell_length_a 5.3649
_cell_length_b 5.3649
_cell_length_c 5.1376
_cell_angle_alpha 90.00
_cell_angle_beta 90.00
_cell_angle_gamma 90.00
_space_group_name_H-M_alt 'P 4/m m m'
_space_group_IT_number 123
_space_group_name_Hall '-P 4 2'
loop_
_atom_site_label
_atom_site_fract_x
_atom_site_fract_y
_atom_site_fract_z
Na1 0.0000 0.0000 0.0000
La1 0.0000 0.5000 0.5000
Ni1 0.5000 0.5000 0.5000
Ag1 0.5000 0.5000 0.0000
```

Calculated formation energy in eV/f.u.: -0.1
DFT total energy in Ha/atom: -0.1464
Theoretical density in Mg/m³: 5.25

---

No. 6
DFT (PBE-GGA) results for a relaxed structure of NaLa2AgO.

Cell and atoms, written as CIF:
```
data_NaLa2AgO
_chemical_formula_sum 'Na1 La2 Ag1 O1'
_cell_length_a 4.9767
_cell_length_b 4.9767
_cell_length_c 4.8280
_cell_angle_alpha 90.00
_cell_angle_beta 90.00
_cell_angle_gamma 90.00
_space_group_name_H-M_alt 'P 4/m m m'
_space_group_IT_number 123
_space_group_name_Hall '-P 4 2'
loop_
_atom_site_label
_atom_site_fract_x
_atom_site_fract_y
_atom_site_fract_z
Na1 0.0000 0.0000 0.0000
La1 0.0000 0.5000 0.5000
Ag1 0.5000 0.5000 0.0000
O1 0.0000 0.0000 0.5000
```

Formation energy (no corrections) in kJ per mole of atoms: -105.17
DFT total energy in Ha/atom: -0.1796
Theoretical density in Mg/m³: 5.90

---

No. 7
DFT (PBE-GGA) results for a relaxed structure of NaLa2AgO5.

Cell and atoms, written as CIF:
```
data_NaLa2AgO5
_chemical_formula_sum 'Na2 La4 Ag2 O10'
_cell_length_a 6.9244
_cell_length_b 6.9244
_cell_length_c 5.9717
_cell_angle_alpha 90.00
_cell_angle_beta 90.00
_cell_angle_gamma 90.00
_space_group_name_H-M_alt 'P 4/m b m'
_space_group_IT_number 127
_space_group_name_Hall '-P 4 2ab'
loop_
_atom_site_label
_atom_site_fract_x
_atom_site_fract_y
_atom_site_fract_z
Na1 0.0000 0.0000 0.0000
La1 0.1803 0.3197 0.5000
Ag1 0.0000 0.5000 0.0000
O1 0.0000 0.0000 0.5000
O2 0.1370 0.6370 0.2496
```

Formation energy (no corrections) in kJ per mole of atoms: -205.74
DFT total energy in Ha/atom: -0.2369
Theoretical density in Mg/m³: 5.67

---

No. 8
DFT (PBE-GGA) results for a relaxed structure of NaLa2AgOs.

Cell and atoms, written as CIF:
```
data_NaLa2AgOs
_chemical_formula_sum 'Na1 La2 Ag1 Os1'
_cell_length_a 5.7464
_cell_length_b 5.7464
_cell_length_c 4.9936
_cell_angle_alpha 90.00
_cell_angle_beta 90.00
_cell_angle_gamma 90.00
_space_group_name_H-M_alt 'P 4/m m m'
_space_group_IT_number 123
_space_group_name_Hall '-P 4 2'
loop_
_atom_site_label
_atom_site_fract_x
_atom_site_fract_y
_atom_site_fract_z
Na1 0.0000 0.0000 0.0000
La1 0.0000 0.5000 0.5000
Ag1 0.5000 0.5000 0.5000
Os1 0.5000 0.5000 0.0000
```

Calculated formation energy in eV/f.u.: 4.3
DFT total energy in Ha/atom: -0.1541
Theoretical density in Mg/m³: 6.03

---

No. 9
DFT (PBE-GGA) results for a relaxed structure of NaLaAgPb.

Cell and atoms, written as CIF:
```
data_NaLaAgPb
_chemical_formula_sum 'Na4 La4 Ag4 Pb4'
_cell_length_a 7.6330
_cell_length_b 7.6330
_cell_length_c 7.6330
_cell_angle_alpha 90.00
_cell_angle_beta 90.00
_cell_angle_gamma 90.00
_space_group_name_H-M_alt 'F -4 3 m'
_space_group_IT_number 216
_space_group_name_Hall 'F -4 2 3'
loop_
_atom_site_label
_atom_site_fract_x
_atom_site_fract_y
_atom_site_fract_z
Na1 0.0000 0.0000 0.0000
La1 0.0000 0.0000 0.5000
Ag1 0.2500 0.2500 0.2500
Pb1 0.2500 0.2500 0.7500
```

Calculated formation energy in eV/f.u.: -1.2
DFT total energy in Ha/atom: -0.1286
Theoretical density in Mg/m³: 7.12

---

No. 10
DFT (PBE-GGA) results for a relaxed structure of Na2LaAgPd.

Cell and atoms, written as CIF:
```
data_Na2LaAgPd
_chemical_formula_sum 'Na2 La1 Ag1 Pd1'
_cell_length_a 5.0226
_cell_length_b 5.0226
_cell_length_c 5.4284
_cell_angle_alpha 90.00
_cell_angle_beta 90.00
_cell_angle_gamma 90.00
_space_group_name_H-M_alt 'P 4/m m m'
_space_group_IT_number 123
_space_group_name_Hall '-P 4 2'
loop_
_atom_site_label
_atom_site_fract_x
_atom_site_fract_y
_atom_site_fract_z
Na1 0.0000 0.5000 0.0000
La1 0.0000 0.0000 0.5000
Ag1 0.5000 0.5000 0.0000
Pd1 0.5000 0.5000 0.5000
```

Calculated formation energy in eV/f.u.: 1.1
DFT total energy in Ha/atom: -0.1064
Theoretical density in Mg/m³: 4.84

---

No. 11
DFT (PBE-GGA) results for a relaxed structure of NaLaAgPt.

Cell and atoms, written as CIF:
```
data_NaLaAgPt
_chemical_formula_sum 'Na4 La4 Ag4 Pt4'
_cell_length_a 7.2209
_cell_length_b 7.2209
_cell_length_c 7.2209
_cell_angle_alpha 90.00
_cell_angle_beta 90.00
_cell_angle_gamma 90.00
_space_group_name_H-M_alt 'F -4 3 m'
_space_group_IT_number 216
_space_group_name_Hall 'F -4 2 3'
loop_
_atom_site_label
_atom_site_fract_x
_atom_site_fract_y
_atom_site_fract_z
Na1 0.0000 0.0000 0.0000
La1 0.0000 0.0000 0.5000
Ag1 0.2500 0.2500 0.2500
Pt1 0.2500 0.2500 0.7500
```

Calculated formation energy in eV/f.u.: -1.7
DFT total energy in Ha/atom: -0.1548
Theoretical density in Mg/m³: 8.20

---

No. 12
DFT (PBE-GGA) results for a relaxed structure of NaLaAgSb.

Cell and atoms, written as CIF:
```
data_NaLaAgSb
_chemical_formula_sum 'Na4 La4 Ag4 Sb4'
_cell_length_a 7.6027
_cell_length_b 7.6027
_cell_length_c 7.6027
_cell_angle_alpha 90.00
_cell_angle_beta 90.00
_cell_angle_gamma 90.00
_space_group_name_H-M_alt 'F -4 3 m'
_space_group_IT_number 216
_space_group_name_Hall 'F -4 2 3'
loop_
_atom_site_label
_atom_site_fract_x
_atom_site_fract_y
_atom_site_fract_z
Na1 0.0000 0.0000 0.0000
La1 0.0000 0.0000 0.5000
Ag1 0.2500 0.2500 0.2500
Sb1 0.2500 0.2500 0.7500
```

Formation energy (no corrections) in kJ per mole of atoms: -51.69
DFT total energy in Ha/atom: -0.1411
Theoretical density in Mg/m³: 5.92